This record from OQMD via LeMat-Bulk describes a geometry-optimized Na2ZnS2O8 structure. The functional is PBE.

a = 8.518 Å, b = 10.139 Å, c = 17.094 Å
α = 90.00°, β = 118.78°, γ = 90.00°
Positions (direct):
O 0.241 0.079 0.247
O 0.990 0.575 0.091
O 0.241 0.921 0.747
O 0.224 0.257 0.662
O 0.709 0.528 0.379
O 0.820 0.463 0.246
O 0.576 0.684 0.657
O 0.010 0.575 0.409
O 0.050 0.950 0.590
O 0.347 0.491 0.414
O 0.523 0.167 0.607
O 0.639 0.811 0.001
O 0.629 0.040 0.349
O 0.653 0.509 0.586
O 0.112 0.689 0.007
O 0.234 0.251 0.145
O 0.180 0.463 0.254
O 0.950 0.050 0.410
O 0.424 0.684 0.843
O 0.776 0.257 0.838
O 0.685 0.987 0.582
O 0.523 0.833 0.107
O 0.050 0.050 0.090
O 0.112 0.311 0.507
O 0.653 0.491 0.086
O 0.291 0.472 0.621
O 0.850 0.702 0.648
O 0.477 0.167 0.893
O 0.234 0.749 0.645
O 0.157 0.185 0.840
O 0.776 0.743 0.338
O 0.888 0.689 0.493
O 0.361 0.811 0.499
O 0.371 0.960 0.651
O 0.576 0.316 0.157
O 0.850 0.298 0.148
O 0.150 0.298 0.352
O 0.766 0.251 0.355
O 0.371 0.040 0.151
O 0.477 0.833 0.393
O 0.361 0.189 0.999
O 0.759 0.079 0.253
O 0.010 0.425 0.909
O 0.820 0.537 0.746
O 0.315 0.013 0.418
O 0.157 0.815 0.340
O 0.766 0.749 0.855
O 0.315 0.987 0.918
O 0.224 0.743 0.162
O 0.180 0.537 0.754
O 0.843 0.815 0.160
O 0.629 0.960 0.849
O 0.347 0.509 0.914
O 0.424 0.316 0.343
O 0.990 0.425 0.591
O 0.639 0.189 0.501
O 0.709 0.472 0.879
O 0.950 0.950 0.910
O 0.759 0.921 0.753
O 0.150 0.702 0.852
O 0.888 0.311 0.993
O 0.291 0.528 0.121
O 0.843 0.185 0.660
O 0.685 0.013 0.082
Na 0.000 0.352 0.750
Na 0.000 0.991 0.250
Na 0.500 0.842 0.250
Na 0.223 0.899 0.021
Na 0.317 0.403 0.019
Na 0.683 0.597 0.981
Na 0.500 0.431 0.250
Na 0.223 0.101 0.521
Na 0.777 0.899 0.479
Na 0.000 0.009 0.750
Na 0.000 0.648 0.250
Na 0.317 0.597 0.519
Na 0.500 0.158 0.750
Na 0.500 0.569 0.750
Na 0.683 0.403 0.481
Na 0.777 0.101 0.979
Zn 0.036 0.380 0.122
Zn 0.447 0.126 0.375
Zn 0.553 0.874 0.625
Zn 0.447 0.874 0.875
Zn 0.036 0.620 0.622
Zn 0.553 0.126 0.125
Zn 0.964 0.380 0.378
Zn 0.964 0.620 0.878
S 0.273 0.395 0.342
S 0.671 0.136 0.590
S 0.159 0.364 0.597
S 0.219 0.106 0.157
S 0.841 0.636 0.403
S 0.727 0.605 0.658
S 0.329 0.864 0.410
S 0.273 0.605 0.842
S 0.219 0.894 0.657
S 0.781 0.106 0.343
S 0.781 0.894 0.843
S 0.159 0.636 0.097
S 0.841 0.364 0.903
S 0.329 0.136 0.910
S 0.671 0.864 0.090
S 0.727 0.395 0.158

Computed properties:
Total DFT energy (no corrections): -5.61 eV/atom
Volume: 12.4 Å³ per atom
SG: P2/c
Crystal system: monoclinic

=====

This record from OQMD via LeMat-Bulk describes a geometry-optimized NaScTa2O6 structure. The functional is PBE.

a = 6.870 Å, b = 6.870 Å, c = 5.714 Å
α = 102.80°, β = 102.80°, γ = 69.20°
Positions (direct):
O 0.210 0.947 0.611
O 0.790 0.053 0.389
O 0.360 0.006 0.251
O 0.006 0.360 0.751
O 0.053 0.790 0.889
O 0.631 0.641 0.016
O 0.994 0.640 0.249
O 0.947 0.210 0.111
O 0.641 0.631 0.516
O 0.369 0.359 0.984
O 0.359 0.369 0.484
O 0.640 0.994 0.749
Ta 0.662 0.831 0.334
Ta 0.831 0.662 0.834
Ta 0.169 0.338 0.166
Ta 0.338 0.169 0.666
Na 0.354 0.646 0.750
Na 0.646 0.354 0.250
Sc 0.926 0.074 0.750
Sc 0.074 0.926 0.250

Computed properties:
Total DFT energy (no corrections): -8.71 eV/atom
Volume: 12.1 Å³ per atom
Spin magnetization: 0.000 μB per atom
SG: C2/c
Crystal system: monoclinic

=====

This record from OQMD via LeMat-Bulk describes a geometry-optimized NaSmSeO structure. The functional is PBE.

a = 6.886 Å, b = 7.569 Å, c = 6.572 Å
α = 90.00°, β = 101.38°, γ = 90.00°
Positions (direct):
Se 0.801 0.575 0.667
Se 0.199 0.075 0.833
Se 0.199 0.425 0.333
Se 0.801 0.925 0.167
Sm 0.451 0.378 0.769
Sm 0.549 0.878 0.731
Sm 0.451 0.122 0.269
Sm 0.549 0.622 0.231
Na 0.096 0.733 0.989
Na 0.904 0.267 0.011
Na 0.096 0.767 0.489
Na 0.904 0.233 0.511
O 0.601 0.157 0.607
O 0.399 0.843 0.393
O 0.399 0.657 0.893
O 0.601 0.343 0.107

Computed properties:
Volume: 21.0 Å³ per atom
Spin magnetization: 0.000 μB per atom
SG: P2_1/c
Crystal system: monoclinic
Energy above the lowest structure with this stoichiometry: 42 meV per atom

=====

This record from OQMD via LeMat-Bulk describes a geometry-optimized NaSmSeO structure. The functional is PBE.

a = 5.745 Å, b = 5.740 Å, c = 11.044 Å
α = 90.00°, β = 106.89°, γ = 90.00°
Positions (direct):
Na 0.948 0.128 0.405
Na 0.448 0.627 0.404
Na 0.052 0.628 0.595
Na 0.552 0.127 0.596
Sm 0.443 0.848 0.894
Sm 0.943 0.348 0.894
Sm 0.057 0.848 0.106
Sm 0.557 0.348 0.106
O 0.250 0.596 0.000
O 0.750 0.594 0.000
O 0.250 0.094 0.000
O 0.750 0.096 0.000
Se 0.395 0.129 0.317
Se 0.105 0.130 0.683
Se 0.605 0.629 0.683
Se 0.895 0.630 0.317

Computed properties:
Volume: 21.8 Å³ per atom
Spin magnetization: 0.000 μB per atom
SG: P2_1
Crystal system: monoclinic
Energy above the lowest structure with this stoichiometry: 0 meV per atom